[1]
Density functional theory data (PBE-GGA) for an optimized crystal structure of ZrZnAg4.

Properties
**Spin magnetization**: 0.00 Bohr magnetons per cell
**V**: 18.9 Å³/atom
**DFT formation energy**: 0.14 eV/atom
**VASP energy**: -3.3939 eV per atom

Structure (CIF):
```
data_ZrZnAg4
_chemical_formula_sum 'Zr1 Zn1 Ag4'
_symmetry_space_group_name_H-M 'P 1'
_symmetry_Int_Tables_number 1
_cell_length_a 5.431
_cell_length_b 5.431
_cell_length_c 5.431
_cell_angle_alpha 60.00
_cell_angle_beta 60.00
_cell_angle_gamma 60.00
loop_
_symmetry_equiv_pos_as_xyz
'x,y,z'
loop_
_atom_site_label
_atom_site_fract_x
_atom_site_fract_y
_atom_site_fract_z
Zr1 0.000 0.000 0.000
Zn1 0.250 0.250 0.250
Ag1 0.125 0.625 0.625
Ag2 0.625 0.125 0.625
Ag3 0.625 0.625 0.125
Ag4 0.625 0.625 0.625
```

---

[2]
Density functional theory data (PBE-GGA) for an optimized crystal structure of ZrZn3Ag.

Properties
**Spin magnetization**: 0.00 Bohr magnetons per cell
**V**: 20.7 Å³/atom
**DFT formation energy**: 0.48 eV/atom
**VASP energy**: -2.5628 eV per atom
**Distance to the lowest polymorph of the same formula**: 506 meV/atom

Structure (CIF):
```
data_ZrZn3Ag
_chemical_formula_sum 'Zr1 Zn3 Ag1'
_symmetry_space_group_name_H-M 'P 1'
_symmetry_Int_Tables_number 1
_cell_length_a 4.698
_cell_length_b 4.698
_cell_length_c 4.698
_cell_angle_alpha 90.00
_cell_angle_beta 90.00
_cell_angle_gamma 90.00
loop_
_symmetry_equiv_pos_as_xyz
'x,y,z'
loop_
_atom_site_label
_atom_site_fract_x
_atom_site_fract_y
_atom_site_fract_z
Zr1 0.000 0.000 0.000
Zn1 0.000 0.500 0.500
Zn2 0.500 0.000 0.500
Zn3 0.500 0.500 0.000
Ag1 0.500 0.500 0.500
```

---

[3]
Density functional theory data (PBE-GGA) for an optimized crystal structure of Zr4ZnAg.

Properties
**Spin magnetization**: 0.00 Bohr magnetons per cell
**V**: 21.3 Å³/atom
**DFT formation energy**: 0.04 eV/atom
**VASP energy**: -6.3480 eV per atom
**Distance to the lowest polymorph of the same formula**: 180 meV/atom

Structure (CIF):
```
data_Zr4ZnAg
_chemical_formula_sum 'Zr8 Zn2 Ag2'
_symmetry_space_group_name_H-M 'P 1'
_symmetry_Int_Tables_number 1
_cell_length_a 5.714
_cell_length_b 7.843
_cell_length_c 5.708
_cell_angle_alpha 90.00
_cell_angle_beta 90.06
_cell_angle_gamma 90.00
loop_
_symmetry_equiv_pos_as_xyz
'x,y,z'
loop_
_atom_site_label
_atom_site_fract_x
_atom_site_fract_y
_atom_site_fract_z
Zr1 0.219 0.127 0.000
Zr2 0.219 0.373 0.500
Zr3 0.246 0.749 0.251
Zr4 0.246 0.751 0.751
Zr5 0.754 0.249 0.249
Zr6 0.754 0.251 0.749
Zr7 0.781 0.627 0.500
Zr8 0.781 0.873 0.000
Zn1 0.000 0.000 0.500
Zn2 0.000 0.500 0.000
Ag1 0.500 0.000 0.500
Ag2 0.500 0.500 0.000
```